First-principles (PBE+U) data for a relaxed structure of HfVO6, as listed in the Alexandria database.

a = 5.5548 Å, b = 5.5548 Å, c = 5.5548 Å
α = 60.00°, β = 60.00°, γ = 60.00°
Site moments in Bohr magnetons follow the coordinates.
Sites, in units of the cell vectors:
O: 0.2371 0.7629 0.7629  0.49
O: 0.7629 0.2371 0.2371  0.49
O: 0.2371 0.7629 0.2371  0.49
O: 0.7629 0.7629 0.2371  0.49
Hf: 0.5000 0.5000 0.5000  -0.10
V: 0.0000 0.0000 0.0000  -0.40
O: 0.7629 0.2371 0.7629  0.49
O: 0.2371 0.2371 0.7629  0.49

VASP energy: -60.5 eV for the cell shown
V: 15.1 Å³ per atom
Size of the total moment: 3.0 Bohr magnetons per cell